No. 1
Gd2HOs: relaxed, PBE.

E, eV per formula unit: -43.2
Relative energy among the computed polymorphs, meV per atom: 0
Crystal system: tetragonal

The structure in POSCAR format:
```
Gd2HOs
1.0
3.2760 0.0000 0.0000
0.0000 3.2760 0.0000
0.0000 0.0000 7.1278
Gd H Os
2 1 1
direct
0.0000 0.0000 0.2465
0.0000 0.0000 0.7535
0.5000 0.5000 0.5000
0.5000 0.5000 0.0000
```



No. 2
Gd2HOs: relaxed, PBE.

E, eV per formula unit: -43.1
Relative energy among the computed polymorphs, meV per atom: 46
Crystal system: trigonal

The structure in POSCAR format:
```
Gd2HOs
1.0
1.9906 1.1493 5.9341
-1.9906 1.1493 5.9341
0.0000 -2.2985 5.9341
Gd H Os
2 1 1
direct
0.2458 0.2458 0.2458
0.7542 0.7542 0.7542
0.5000 0.5000 0.5000
0.0000 0.0000 0.0000
```



No. 3
GdH3Os: relaxed, PBE.

E, eV per formula unit: -36.8
Crystal system: cubic

The structure in POSCAR format:
```
GdH3Os
1.0
3.6940 0.0000 0.0000
0.0000 3.6940 0.0000
0.0000 0.0000 3.6940
Gd H Os
1 3 1
direct
0.0000 0.0000 0.0000
0.0000 0.5000 0.5000
0.5000 0.0000 0.5000
0.5000 0.5000 0.0000
0.5000 0.5000 0.5000
```



No. 4
GdPH: relaxed, PBE.

E, eV per formula unit: -24.5
Relative energy among the computed polymorphs, meV per atom: 156
Crystal system: tetragonal

The structure in POSCAR format:
```
GdPH
1.0
-1.9747 1.9747 3.4121
1.9747 -1.9747 3.4121
1.9747 1.9747 -3.4121
Gd P H
1 1 1
direct
0.0000 0.0000 0.0000
0.5808 0.5808 0.0000
0.3551 0.3551 0.0000
```



No. 5
GdPH: relaxed, PBE.

E, eV per formula unit: -24.6
Relative energy among the computed polymorphs, meV per atom: 117
Crystal system: orthorhombic

The structure in POSCAR format:
```
GdPH
1.0
14.6549 0.0000 0.0000
0.0000 3.8979 0.0000
0.0000 0.0000 7.2003
Gd P H
8 8 8
direct
0.1140 0.2138 0.0758
0.1140 0.7862 0.5758
0.3860 0.2138 0.5758
0.3860 0.7862 0.0758
0.6140 0.2138 0.9242
0.6140 0.7862 0.4242
0.8860 0.2138 0.4242
0.8860 0.7862 0.9242
0.0000 0.2583 0.7500
0.0000 0.7417 0.2500
0.2500 0.5000 0.3526
0.2500 0.5000 0.8526
0.5000 0.2583 0.2500
0.5000 0.7417 0.7500
0.7500 0.5000 0.1474
0.7500 0.5000 0.6474
0.0000 0.3271 0.2500
0.0000 0.6729 0.7500
0.2500 0.5000 0.1397
0.2500 0.5000 0.6397
0.5000 0.3271 0.7500
0.5000 0.6729 0.2500
0.7500 0.5000 0.3603
0.7500 0.5000 0.8603
```



No. 6
GdPH: relaxed, PBE.

E, eV per formula unit: -25.0
Relative energy among the computed polymorphs, meV per atom: 0
Crystal system: hexagonal

The structure in POSCAR format:
```
GdPH
1.0
3.7300 0.0000 0.0000
-1.8650 3.2302 0.0000
0.0000 0.0000 4.0500
Gd P H
1 1 1
direct
0.0000 0.0000 0.0000
0.6667 0.3333 0.5000
0.3333 0.6667 0.0000
```



No. 7
Gd2PH: relaxed, PBE.

E, eV per formula unit: -40.7
Crystal system: trigonal

The structure in POSCAR format:
```
Gd2PH
1.0
1.9559 1.1293 6.0111
-1.9559 1.1293 6.0111
0.0000 -2.2585 6.0111
Gd P H
2 1 1
direct
0.2464 0.2464 0.2464
0.7536 0.7536 0.7536
0.0000 0.0000 0.0000
0.5000 0.5000 0.5000
```



No. 8
GdPaH2: relaxed, PBE.

E, eV per formula unit: -31.2
Crystal system: trigonal

The structure in POSCAR format:
```
GdPaH2
1.0
1.7202 0.9932 5.8376
-1.7202 0.9932 5.8376
0.0000 -1.9864 5.8376
Gd Pa H
1 1 2
direct
0.0000 0.0000 0.0000
0.5000 0.5000 0.5000
0.2474 0.2474 0.2474
0.7526 0.7526 0.7526
```